Entry 1:
The following is a SCAN calculation of a PBEsol-optimized structure of AlSb2Se, from Alexandria.

Properties
**Total DFT energy (no corrections)**: -101.484 eV/f.u.
**ΔE_f (raw)**: 0.217 eV per atom

Unit cell a=5.773 b=5.773 c=8.430 alpha=110.02 beta=110.02 gamma=90.00
Fractional positions:
Sb 0.386 0.875 0.250
Sb 0.864 0.375 0.250
Sb 0.125 0.136 0.750
Sb 0.625 0.614 0.750
Al 0.750 0.250 0.500
Al 0.500 0.500 0.000
Se 0.250 0.750 0.500
Se 0.000 0.000 0.000

***

Entry 2:
The following is a SCAN calculation of a PBEsol-optimized structure of AlSbSe, from Alexandria.

Properties
**Total DFT energy (no corrections)**: -64.575 eV/f.u.
**ΔE_f (raw)**: 0.172 eV per atom

Unit cell a=4.649 b=4.649 c=4.649 alpha=60.00 beta=60.00 gamma=60.00
Fractional positions:
Sb 0.000 0.000 0.000
Al 0.250 0.250 0.250
Se 0.500 0.500 0.500

***

Entry 3:
The following is a SCAN calculation of a PBEsol-optimized structure of Al2SbSe, from Alexandria.

Properties
**Total DFT energy (no corrections)**: -72.973 eV/f.u.
**Relative energy among the computed polymorphs**: 178 meV per atom
**ΔE_f (raw)**: -0.033 eV per atom

Unit cell a=4.849 b=4.849 c=4.849 alpha=109.28 beta=109.57 gamma=109.57
Fractional positions:
Sb 0.000 0.000 0.000
Al 0.500 0.000 0.500
Al 0.500 0.500 0.000
Se 0.000 0.500 0.500

***

Entry 4:
The following is a SCAN calculation of a PBEsol-optimized structure of AlSi2Sb, from Alexandria.

Properties
**Total DFT energy (no corrections)**: -62.954 eV/f.u.
**Relative energy among the computed polymorphs**: 66 meV per atom
**ΔE_f (raw)**: 0.523 eV per atom

Unit cell a=2.964 b=2.964 c=8.359 alpha=90.00 beta=90.00 gamma=95.74
Fractional positions:
Sb 0.500 0.500 0.000
Si 0.000 0.000 0.292
Si 0.000 0.000 0.708
Al 0.500 0.500 0.500

***

Entry 5:
The following is a SCAN calculation of a PBEsol-optimized structure of AlSiSb3, from Alexandria.

Properties
**Total DFT energy (no corrections)**: -124.952 eV/f.u.
**ΔE_f (raw)**: 0.920 eV per atom

Unit cell a=5.158 b=5.158 c=5.158 alpha=90.00 beta=90.00 gamma=90.00
Fractional positions:
Sb 0.000 0.500 0.000
Sb 0.000 0.000 0.500
Sb 0.500 0.000 0.000
Si 0.500 0.500 0.500
Al 0.000 0.000 0.000

***

Entry 6:
The following is a SCAN calculation of a PBEsol-optimized structure of AlSi2Sb, from Alexandria.

Properties
**Total DFT energy (no corrections)**: -63.219 eV/f.u.
**Relative energy among the computed polymorphs**: 0 meV per atom
**ΔE_f (raw)**: 0.456 eV per atom

Unit cell a=3.248 b=3.248 c=6.876 alpha=90.00 beta=90.00 gamma=90.00
Fractional positions:
Sb 0.500 0.500 0.759
Si 0.000 0.000 0.064
Si 0.500 0.500 0.224
Al 0.000 0.000 0.453

***

Entry 7:
The following is a SCAN calculation of a PBEsol-optimized structure of AlZn2SnSb, from Alexandria.

Properties
**Total DFT energy (no corrections)**: -104.427 eV/f.u.
**ΔE_f (raw)**: 0.707 eV per atom

Unit cell a=5.008 b=5.008 c=5.372 alpha=90.00 beta=90.00 gamma=90.00
Fractional positions:
Sb 0.000 0.000 0.000
Zn 0.000 0.500 0.000
Zn 0.500 0.000 0.000
Sn 0.500 0.500 0.500
Al 0.000 0.000 0.500

***

Entry 8:
The following is a SCAN calculation of a PBEsol-optimized structure of SrAl2Sb, from Alexandria.

Properties
**Total DFT energy (no corrections)**: -75.668 eV/f.u.
**ΔE_f (raw)**: -0.157 eV per atom

Unit cell a=4.531 b=4.879 c=5.169 alpha=90.00 beta=90.00 gamma=91.87
Fractional positions:
Sb 0.000 0.500 0.500
Al 0.108 0.254 0.000
Al 0.892 0.746 0.000
Sr 0.500 0.000 0.500

***

Entry 9:
The following is a SCAN calculation of a PBEsol-optimized structure of Sr2AlSb, from Alexandria.

Properties
**Total DFT energy (no corrections)**: -90.279 eV/f.u.
**ΔE_f (raw)**: -0.179 eV per atom

Unit cell a=4.427 b=4.427 c=6.765 alpha=90.00 beta=90.00 gamma=90.00
Fractional positions:
Sb 0.500 0.500 0.766
Al 0.000 0.000 0.487
Sr 0.000 0.000 0.947
Sr 0.500 0.500 0.300

***

Entry 10:
The following is a SCAN calculation of a PBEsol-optimized structure of Sr5Al2Sb6, from Alexandria.

Properties
**Total DFT energy (no corrections)**: -362.178 eV/f.u.
**ΔE_f (raw)**: -0.903 eV per atom

Unit cell a=10.336 b=12.059 c=13.261 alpha=90.00 beta=90.00 gamma=90.00
Fractional positions:
Sr 0.021 0.167 0.462
Sr 0.750 0.839 0.812
Sr 0.521 0.333 0.962
Sr 0.479 0.667 0.038
Sr 0.529 0.420 0.264
Sr 0.471 0.080 0.764
Sr 0.250 0.661 0.312
Sr 0.521 0.833 0.538
Sr 0.971 0.920 0.236
Sr 0.971 0.420 0.264
Sr 0.471 0.580 0.736
Sr 0.250 0.161 0.188
Sr 0.021 0.667 0.038
Sr 0.479 0.167 0.462
Sr 0.979 0.333 0.962
Sr 0.529 0.920 0.236
Sr 0.029 0.580 0.736
Sr 0.029 0.080 0.764
Sr 0.750 0.339 0.688
Sr 0.979 0.833 0.538
Al 0.250 0.423 0.566
Al 0.750 0.577 0.434
Al 0.750 0.187 0.297
Al 0.250 0.813 0.703
Al 0.750 0.077 0.066
Al 0.250 0.313 0.797
Al 0.250 0.923 0.934
Al 0.750 0.687 0.203
Sb 0.250 0.355 0.374
Sb 0.946 0.174 0.168
Sb 0.054 0.326 0.668
Sb 0.750 0.048 0.625
Sb 0.946 0.674 0.332
Sb 0.750 0.348 0.438
Sb 0.554 0.674 0.332
Sb 0.446 0.826 0.832
Sb 0.750 0.496 0.090
Sb 0.250 0.652 0.562
Sb 0.750 0.848 0.062
Sb 0.750 0.548 0.875
Sb 0.446 0.326 0.668
Sb 0.750 0.645 0.626
Sb 0.250 0.855 0.126
Sb 0.054 0.826 0.832
Sb 0.250 0.004 0.590
Sb 0.250 0.952 0.375
Sb 0.250 0.452 0.125
Sb 0.250 0.504 0.910
Sb 0.750 0.996 0.410
Sb 0.250 0.152 0.938
Sb 0.554 0.174 0.168
Sb 0.750 0.145 0.874

***

Entry 11:
The following is a SCAN calculation of a PBEsol-optimized structure of SrAlSb2Te, from Alexandria.

Properties
**Total DFT energy (no corrections)**: -142.920 eV/f.u.
**ΔE_f (raw)**: -0.224 eV per atom

Unit cell a=5.266 b=5.266 c=5.509 alpha=90.00 beta=90.00 gamma=90.00
Fractional positions:
Sb 0.000 0.500 0.000
Sb 0.500 0.000 0.000
Te 0.000 0.000 0.500
Al 0.000 0.000 0.000
Sr 0.500 0.500 0.500

***

Entry 12:
The following is a SCAN calculation of a PBEsol-optimized structure of Ta2AlSb, from Alexandria.

Properties
**Total DFT energy (no corrections)**: -177.802 eV/f.u.
**Relative energy among the computed polymorphs**: 0 meV per atom
**ΔE_f (raw)**: 0.094 eV per atom

Unit cell a=2.973 b=5.240 c=5.240 alpha=111.86 beta=99.79 gamma=99.79
Fractional positions:
Sb 0.500 0.500 0.500
Al 0.500 0.000 0.000
Ta 0.000 0.500 0.000
Ta 0.000 0.000 0.500

***

Entry 13:
The following is a SCAN calculation of a PBEsol-optimized structure of TaAlSb, from Alexandria.

Properties
**Total DFT energy (no corrections)**: -112.039 eV/f.u.
**Relative energy among the computed polymorphs**: 0 meV per atom
**ΔE_f (raw)**: -0.148 eV per atom

Unit cell a=3.492 b=3.492 c=5.079 alpha=110.11 beta=110.11 gamma=90.00
Fractional positions:
Sb 0.670 0.670 0.340
Al 0.996 0.996 0.991
Ta 0.335 0.335 0.669

***

Entry 14:
The following is a SCAN calculation of a PBEsol-optimized structure of TaAlSb, from Alexandria.

Properties
**Total DFT energy (no corrections)**: -110.972 eV/f.u.
**Relative energy among the computed polymorphs**: 356 meV per atom
**ΔE_f (raw)**: 0.208 eV per atom

Unit cell a=2.962 b=2.962 c=7.105 alpha=102.03 beta=102.03 gamma=90.00
Fractional positions:
Sb 0.678 0.678 0.355
Al 0.981 0.981 0.961
Ta 0.342 0.342 0.683

***

Entry 15:
The following is a SCAN calculation of a PBEsol-optimized structure of Ta2AlSb, from Alexandria.

Properties
**Total DFT energy (no corrections)**: -177.269 eV/f.u.
**Relative energy among the computed polymorphs**: 133 meV per atom
**ΔE_f (raw)**: 0.227 eV per atom

Unit cell a=4.666 b=4.666 c=4.666 alpha=60.00 beta=60.00 gamma=60.00
Fractional positions:
Sb 0.250 0.250 0.250
Al 0.500 0.500 0.500
Ta 0.000 0.000 0.000
Ta 0.750 0.750 0.750

***

Entry 16:
The following is a SCAN calculation of a PBEsol-optimized structure of TaAlSb2, from Alexandria.

Properties
**Total DFT energy (no corrections)**: -147.659 eV/f.u.
**ΔE_f (raw)**: 0.299 eV per atom

Unit cell a=3.596 b=4.786 c=5.519 alpha=115.69 beta=109.01 gamma=90.00
Fractional positions:
Sb 0.985 0.985 0.971
Sb 0.752 0.252 0.503
Al 0.250 0.750 0.499
Ta 0.513 0.513 0.027

***

Entry 17:
The following is a SCAN calculation of a PBEsol-optimized structure of TaAlSb2, from Alexandria.

Properties
**Total DFT energy (no corrections)**: -147.663 eV/f.u.
**ΔE_f (raw)**: 0.298 eV per atom

Unit cell a=3.820 b=5.022 c=5.228 alpha=118.71 beta=111.43 gamma=90.00
Fractional positions:
Sb 0.730 0.730 0.461
Sb 0.270 0.270 0.539
Al 0.000 0.500 0.000
Ta 0.500 0.000 0.000

***

Entry 18:
The following is a SCAN calculation of a PBEsol-optimized structure of Ta2AlSb, from Alexandria.

Properties
**Total DFT energy (no corrections)**: -177.399 eV/f.u.
**Relative energy among the computed polymorphs**: 101 meV per atom
**ΔE_f (raw)**: 0.195 eV per atom

Unit cell a=3.221 b=3.221 c=6.933 alpha=90.00 beta=90.00 gamma=90.00
Fractional positions:
Sb 0.500 0.500 0.500
Al 0.500 0.500 0.000
Ta 0.000 0.000 0.750
Ta 0.000 0.000 0.250

***

Entry 19:
The following is a SCAN calculation of a PBEsol-optimized structure of Ta2AlSb, from Alexandria.

Properties
**Total DFT energy (no corrections)**: -177.381 eV/f.u.
**Relative energy among the computed polymorphs**: 105 meV per atom
**ΔE_f (raw)**: 0.199 eV per atom

Unit cell a=3.047 b=3.047 c=9.587 alpha=80.86 beta=80.86 gamma=60.00
Fractional positions:
Sb 0.252 0.252 0.245
Al 0.495 0.495 0.515
Ta 0.001 0.001 0.997
Ta 0.752 0.752 0.743

***

Entry 20:
The following is a SCAN calculation of a PBEsol-optimized structure of Ta2AlSb2, from Alexandria.

Properties
**Total DFT energy (no corrections)**: -212.560 eV/f.u.
**ΔE_f (raw)**: 0.576 eV per atom

Unit cell a=3.975 b=3.975 c=7.380 alpha=105.62 beta=105.62 gamma=90.00
Fractional positions:
Sb 0.250 0.750 0.500
Sb 0.750 0.250 0.500
Al 0.000 0.000 0.000
Ta 0.403 0.403 0.805
Ta 0.597 0.597 0.195